A relaxed structure of BeAgB2. Source: OQMD, functional PBE-GGA.

The calculation puts the total energy at -3.558 eV per atom.

The structure belongs to space group F-43m (No. 216); the cell edges are 5.453, 5.453 and 5.453 Å and the angles 90.00°, 90.00° and 90.00°. Symmetry generates all atoms from Be at (0.000, 0.000, 0.000), Ag at (0.250, 0.250, 0.250), B at (0.000, 0.000, 0.500) and B at (0.250, 0.250, 0.750).

A relaxed structure of CsAu2. Source: OQMD, functional PBE-GGA.

The calculation puts the total energy at -2.551 eV per atom.

The structure belongs to space group Fd-3m (No. 227, origin choice 2); the cell edges are 8.542, 8.542 and 8.542 Å and the angles 90.00°, 90.00° and 90.00°. Symmetry generates all atoms from Cs at (0.125, 0.125, 0.125) and Au at (0.000, 0.000, 0.500).

A relaxed structure of TlOsSeO. Source: OQMD, functional PBE-GGA.

The value obtained for the total moment is 0.05 μB per cell. Its energy above the most stable polymorph in this dataset is 157 meV/atom.

The structure belongs to space group P2_1 (No. 4); the cell edges are 4.995, 4.920 and 13.433 Å and the angles 90.00°, 95.13° and 90.00°. Symmetry generates all atoms from Tl at (0.035, 0.000, 0.102), Tl at (0.460, 0.021, 0.910), Os at (0.014, 0.028, 0.595), Os at (0.394, 0.706, 0.594), Se at (0.261, 0.359, 0.704), Se at (0.264, 0.372, 0.280), O at (0.170, 0.866, 0.470) and O at (0.325, 0.392, 0.488).

A relaxed structure of USeS. Source: OQMD, functional PBE-GGA.

The value obtained for the total moment is 4.76 μB per cell. Its energy above the most stable polymorph in this dataset is 558 meV/atom.

The structure belongs to space group P6_3/mmc (No. 194); the cell edges are 4.5822, 4.5822 and 6.6325 Å and the angles 90.00°, 90.00° and 120.00°. Symmetry generates all atoms from U at (0.0000, 0.0000, 0.0000), Se at (0.3333, 0.6667, 0.2500) and S at (0.3333, 0.6667, 0.7500).

A relaxed structure of GdY2Mg4Al2. Source: OQMD, functional PBE-GGA.

The value obtained for the total moment is 0.03 μB per cell. The calculation puts the total energy at -3.719 eV per atom.

The structure belongs to space group Amm2 (No. 38); the cell edges are 4.571, 13.018 and 7.491 Å and the angles 90.00°, 90.00° and 90.00°. Symmetry generates all atoms from Gd at (0.000, 0.000, 0.000), Y at (0.000, 0.218, 0.348), Mg at (0.000, 0.000, 0.564), Mg at (0.500, 0.000, 0.315), Mg at (0.500, 0.125, 0.690) and Al at (0.500, 0.167, 0.065).

A relaxed structure of ScTlNiIr. Source: OQMD, functional PBE-GGA.

The value obtained for the total moment is 0.01 μB per cell. The calculation puts the total energy at -5.832 eV per atom.

The structure belongs to space group F-43m (No. 216); the cell edges are 6.473, 6.473 and 6.473 Å and the angles 90.00°, 90.00° and 90.00°. Symmetry generates all atoms from Sc at (0.000, 0.000, 0.000), Tl at (0.250, 0.250, 0.250), Ni at (0.000, 0.000, 0.500) and Ir at (0.250, 0.250, 0.750).

A relaxed structure of Si3Ni. Source: OQMD, functional PBE-GGA.

The value obtained for the total moment is 0.04 μB per cell. The calculation puts the total energy at -5.183 eV per atom.

The structure belongs to space group P6_3/mmc (No. 194); the cell edges are 5.1851, 5.1851 and 4.5436 Å and the angles 90.00°, 90.00° and 120.00°. Symmetry generates all atoms from Si at (0.1700, 0.3400, 0.2500) and Ni at (0.3333, 0.6667, 0.7500).

A relaxed structure of SmPb. Source: OQMD, functional PBE-GGA.

The value obtained for the total moment is 0.02 μB per cell. The calculation puts the total energy at -4.556 eV per atom.

The structure belongs to space group P-6m2 (No. 187); the cell edges are 3.6424, 3.6424 and 5.3269 Å and the angles 90.00°, 90.00° and 120.00°. Symmetry generates all atoms from Sm at (0.0000, 0.0000, 0.0000) and Pb at (0.3333, 0.6667, 0.5000).

A relaxed structure of HfTcB4. Source: OQMD, functional PBE-GGA.

The value obtained for the total moment is 0.00 μB per cell. Its energy above the most stable polymorph in this dataset is 0 meV/atom.

The structure belongs to space group Immm (No. 71); the cell edges are 3.110, 5.304 and 6.729 Å and the angles 90.00°, 90.00° and 90.00°. Symmetry generates all atoms from Hf at (0.000, 0.000, 0.000), Tc at (0.000, 0.000, 0.500) and B at (0.000, 0.332, 0.252).

A relaxed structure of Na4InSnPd2. Source: OQMD, functional PBE-GGA.

The calculation puts the total energy at -3.004 eV per atom.

The structure belongs to space group P-4m2 (No. 115); the cell edges are 4.859, 4.859 and 6.824 Å and the angles 90.00°, 90.00° and 90.00°. Symmetry generates all atoms from Na at (0.000, 0.000, 0.000), Na at (0.000, 0.500, 0.249), Na at (0.500, 0.500, 0.500), In at (0.500, 0.500, 0.000), Sn at (0.000, 0.000, 0.500) and Pd at (0.000, 0.500, 0.744).

A relaxed structure of LuMg2Sc. Source: OQMD, functional PBE-GGA.

The value obtained for the total moment is 0.16 μB per cell. The calculation puts the total energy at -3.410 eV per atom.

The structure belongs to space group F-43m (No. 216); the cell edges are 7.327, 7.327 and 7.327 Å and the angles 90.00°, 90.00° and 90.00°. Symmetry generates all atoms from Lu at (0.000, 0.000, 0.000), Mg at (0.000, 0.000, 0.500), Mg at (0.250, 0.250, 0.250) and Sc at (0.250, 0.250, 0.750).

A relaxed structure of NpTlFe. Source: OQMD, functional PBE-GGA.

The value obtained for the total moment is 10.23 μB per cell. The calculation puts the total energy at -7.325 eV per atom.

The structure belongs to space group F-43m (No. 216); the cell edges are 6.306, 6.306 and 6.306 Å and the angles 90.00°, 90.00° and 90.00°. Symmetry generates all atoms from Np at (0.000, 0.000, 0.000), Tl at (0.000, 0.000, 0.500) and Fe at (0.250, 0.250, 0.250).